# Pr5SmHo3

Crystalline Pr5SmHo3 at its relaxed geometry (PBE, Alexandria via LeMat-Bulk).

a b c (Å): 10.6594 10.6594 11.7149
angles (deg): 120.68 120.68 34.48
Atoms (fractional coordinates):
Pr 0.0378 0.6814 0.3419
Pr 0.0969 0.9031 0.7500
Pr 0.1371 0.5039 0.6662
Pr 0.3186 0.9622 0.1581
Pr 0.4961 0.8629 0.8338
Pr 0.5039 0.1371 0.1662
Pr 0.6814 0.0378 0.8419
Pr 0.8629 0.4961 0.3338
Pr 0.9031 0.0969 0.2500
Pr 0.9622 0.3186 0.6581
Sm 0.3876 0.6124 0.2500
Sm 0.6124 0.3876 0.7500
Ho 0.0994 0.5484 0.9728
Ho 0.4516 0.9006 0.5272
Ho 0.5000 0.5000 0.0000
Ho 0.5000 0.5000 0.5000
Ho 0.5484 0.0994 0.4728
Ho 0.9006 0.4516 0.0272

Space group = C2/c
E above lowest polymorph = 0 meV per atom
Calculated volume = 636.96 Å³ per cell